1.
A plane-wave DFT calculation with PBE-GGA was carried out for a relaxed structure of LaScSn6. Values from VASP.

Output
As for the magnetic moment: 0.00 μB per formula unit. The value obtained for the formation enthalpy at 0 K is -0.43 eV per atom. Its space group is P4/mmm (123).

```
&SYSTEM
  ibrav = 0, nat = 8, ntyp = 3
/
ATOMIC_SPECIES
La 138.91 La.upf
Sc 44.96 Sc.upf
Sn 118.71 Sn.upf
CELL_PARAMETERS angstrom
4.837 0.000 0.000
0.000 4.837 0.000
0.000 0.000 8.975
ATOMIC_POSITIONS angstrom
La 0.000 0.000 0.000
Sc 0.000 0.000 4.487
Sn 0.000 2.418 2.377
Sn 0.000 2.418 6.598
Sn 2.418 0.000 2.377
Sn 2.418 0.000 6.598
Sn 2.418 2.418 0.000
Sn 2.418 2.418 4.487
```

2.
A plane-wave DFT calculation with PBE-GGA was carried out for a relaxed structure of DyYFeCu. Values from VASP.

Output
As for the magnetic moment: 0.00 μB per formula unit. The value obtained for the formation enthalpy at 0 K is -0.01 eV per atom. Its space group is F-43m (216).

```
&SYSTEM
  ibrav = 0, nat = 4, ntyp = 4
/
ATOMIC_SPECIES
Dy 162.50 Dy.upf
Y 88.91 Y.upf
Fe 55.84 Fe.upf
Cu 63.55 Cu.upf
CELL_PARAMETERS angstrom
0.000 3.395 3.395
3.395 0.000 3.395
3.395 3.395 0.000
ATOMIC_POSITIONS angstrom
Dy 0.000 0.000 0.000
Y 3.395 3.395 3.395
Fe 5.093 5.093 5.093
Cu 1.698 1.698 1.698
```

3.
A plane-wave DFT calculation with PBE-GGA was carried out for a relaxed structure of Sm4ZnCu. Values from VASP.

Output
As for the magnetic moment: 0.00 μB per formula unit. The value obtained for the formation enthalpy at 0 K is -0.14 eV per atom. Its space group is P4/mmm (123).

```
&SYSTEM
  ibrav = 0, nat = 6, ntyp = 3
/
ATOMIC_SPECIES
Sm 150.36 Sm.upf
Zn 65.41 Zn.upf
Cu 63.55 Cu.upf
CELL_PARAMETERS angstrom
3.613 0.000 0.000
0.000 3.613 0.000
0.000 0.000 12.413
ATOMIC_POSITIONS angstrom
Sm 0.000 0.000 1.703
Sm 0.000 0.000 10.709
Sm 1.806 1.806 4.401
Sm 1.806 1.806 8.012
Zn 0.000 0.000 6.206
Cu 1.806 1.806 0.000
```

4.
A plane-wave DFT calculation with PBE-GGA was carried out for a relaxed structure of Ce2MgZn3Pt4. Values from VASP.

Output
As for the magnetic moment: 1.82 μB per formula unit. The value obtained for the formation enthalpy at 0 K is -0.75 eV per atom. Its space group is P-4m2 (115).

```
&SYSTEM
  ibrav = 0, nat = 10, ntyp = 4
/
ATOMIC_SPECIES
Ce 140.12 Ce.upf
Mg 24.30 Mg.upf
Zn 65.41 Zn.upf
Pt 195.08 Pt.upf
CELL_PARAMETERS angstrom
4.101 0.000 0.000
0.000 4.101 0.000
0.000 0.000 11.488
ATOMIC_POSITIONS angstrom
Ce 0.000 2.051 2.760
Ce 2.051 0.000 8.727
Mg 0.000 0.000 5.744
Zn 0.000 2.051 9.987
Zn 2.051 0.000 1.501
Zn 2.051 2.051 5.744
Pt 0.000 0.000 0.000
Pt 0.000 2.051 7.479
Pt 2.051 0.000 4.009
Pt 2.051 2.051 0.000
```

5.
A plane-wave DFT calculation with PBE-GGA was carried out for a relaxed structure of HoGaGeAu. Values from VASP.

Output
As for the magnetic moment: 0.00 μB per formula unit. The value obtained for the formation enthalpy at 0 K is -0.40 eV per atom. Its space group is F-43m (216).

```
&SYSTEM
  ibrav = 0, nat = 4, ntyp = 4
/
ATOMIC_SPECIES
Ho 164.93 Ho.upf
Ga 69.72 Ga.upf
Ge 72.64 Ge.upf
Au 196.97 Au.upf
CELL_PARAMETERS angstrom
0.000 3.441 3.441
3.441 0.000 3.441
3.441 3.441 0.000
ATOMIC_POSITIONS angstrom
Ho 0.000 0.000 0.000
Ga 3.441 3.441 3.441
Ge 1.720 1.720 1.720
Au 5.161 5.161 5.161
```

6.
A plane-wave DFT calculation with PBE-GGA was carried out for a relaxed structure of BaCo2Pb. Values from VASP.

Output
As for the magnetic moment: 3.96 μB per formula unit. The value obtained for the formation enthalpy at 0 K is 0.84 eV per atom. Its space group is F-43m (216).

```
&SYSTEM
  ibrav = 0, nat = 4, ntyp = 3
/
ATOMIC_SPECIES
Ba 137.33 Ba.upf
Co 58.93 Co.upf
Pb 207.20 Pb.upf
CELL_PARAMETERS angstrom
0.000 3.643 3.643
3.643 0.000 3.643
3.643 3.643 0.000
ATOMIC_POSITIONS angstrom
Ba 0.000 0.000 0.000
Co 1.821 1.821 1.821
Co 3.643 3.643 3.643
Pb 5.464 5.464 5.464
```

7.
A plane-wave DFT calculation with PBE-GGA was carried out for a relaxed structure of MgPa2Se5. Values from VASP.

Output
The calculation puts the raw formation energy at -1221 meV per atom. As for the magnetic moment: 1.99 μB per formula unit. Its space group is Cmcm (63).

```
&SYSTEM
  ibrav = 0, nat = 16, ntyp = 3
/
ATOMIC_SPECIES
Mg 24.30 Mg.upf
Pa 231.04 Pa.upf
Se 78.96 Se.upf
CELL_PARAMETERS angstrom
2.819 -6.546 0.000
2.819 6.546 0.000
0.000 0.000 13.459
ATOMIC_POSITIONS angstrom
Mg 2.819 3.803 10.094
Mg 2.819 -3.803 3.365
Pa 2.819 4.572 0.791
Pa 2.819 4.572 5.938
Pa 2.819 -4.572 7.521
Pa 2.819 -4.572 12.668
Se 2.819 5.897 8.386
Se 2.819 5.897 11.803
Se 2.819 3.266 3.365
Se 2.819 2.237 7.717
Se 2.819 2.237 12.472
Se 2.819 -2.237 0.988
Se 2.819 -2.237 5.742
Se 2.819 -3.266 10.094
Se 2.819 -5.897 1.657
Se 2.819 -5.897 5.073
```

8.
A plane-wave DFT calculation with PBE-GGA was carried out for a relaxed structure of Mg3TiPt. Values from VASP.

Output
As for the magnetic moment: 0.00 μB per formula unit. The value obtained for the formation enthalpy at 0 K is 0.21 eV per atom. Its space group is Pm-3m (221).

```
&SYSTEM
  ibrav = 0, nat = 5, ntyp = 3
/
ATOMIC_SPECIES
Mg 24.30 Mg.upf
Ti 47.87 Ti.upf
Pt 195.08 Pt.upf
CELL_PARAMETERS angstrom
4.895 0.000 0.000
0.000 4.895 0.000
0.000 0.000 4.895
ATOMIC_POSITIONS angstrom
Mg 0.000 0.000 2.448
Mg 0.000 2.448 0.000
Mg 2.448 0.000 0.000
Ti 2.448 2.448 2.448
Pt 0.000 0.000 0.000
```

The records above give, respectively, V values of 210 78 162 193 81 97 497 117 Å³/cell.